Entry 1:
! LaCrSI2 meta-GGA SCAN PBEsol geometry; values from VASP
&SYSTEM
  ibrav = 0, nat = 5, ntyp = 4
/
ATOMIC_SPECIES
La 138.91 La.upf
I 126.90 I.upf
Cr 52.00 Cr.upf
S 32.06 S.upf
CELL_PARAMETERS angstrom
4.181 0.000 0.000
0.000 6.106 0.000
0.000 0.000 6.106
ATOMIC_POSITIONS crystal
La 0.500 0.500 0.500
I 0.000 0.000 0.500
I 0.000 0.500 0.000
Cr 0.500 0.000 0.000
S 0.000 0.000 0.000
! Energy relative to the elements, uncorrected in eV/f.u.: -1.11
! DOS at the Fermi energy in states/eV per cell: 2.8

=====

Entry 2:
! Ta2BiP meta-GGA SCAN PBEsol geometry; values from VASP
&SYSTEM
  ibrav = 0, nat = 8, ntyp = 3
/
ATOMIC_SPECIES
P 30.97 P.upf
Ta 180.95 Ta.upf
Bi 208.98 Bi.upf
CELL_PARAMETERS angstrom
4.082 0.000 0.000
0.000 4.082 0.000
-2.041 -2.041 9.522
ATOMIC_POSITIONS crystal
P 0.500 0.500 0.000
P 0.750 0.250 0.500
Ta 0.125 0.148 0.750
Ta 0.625 0.602 0.750
Ta 0.852 0.375 0.250
Ta 0.398 0.875 0.250
Bi 0.000 0.000 0.000
Bi 0.250 0.750 0.500
! DOS at the Fermi energy in states/eV per cell: 4.6
! Formation enthalpy at 0 K in kJ/mol of atoms: 58.20

=====

Entry 3:
! Al2MoRu meta-GGA SCAN PBEsol geometry; values from VASP
&SYSTEM
  ibrav = 0, nat = 4, ntyp = 3
/
ATOMIC_SPECIES
Al 26.98 Al.upf
Mo 95.94 Mo.upf
Ru 101.07 Ru.upf
CELL_PARAMETERS angstrom
4.317 0.000 0.000
2.159 3.739 0.000
2.159 1.246 3.525
ATOMIC_POSITIONS crystal
Al 0.000 0.000 0.000
Al 0.750 0.750 0.750
Mo 0.500 0.500 0.500
Ru 0.250 0.250 0.250
! DOS at the Fermi energy in states/eV per cell: 4.7
! Formation enthalpy at 0 K in kJ/mol of atoms: -24.03
! Relative energy among the computed polymorphs in meV/atom: 138

=====

Entry 4:
! Nb2TcBSb meta-GGA SCAN PBEsol geometry; values from VASP
&SYSTEM
  ibrav = 0, nat = 5, ntyp = 4
/
ATOMIC_SPECIES
B 10.81 B.upf
Tc 98.00 Tc.upf
Sb 121.76 Sb.upf
Nb 92.91 Nb.upf
CELL_PARAMETERS angstrom
3.964 0.000 0.000
0.000 5.084 0.000
0.000 0.000 5.084
ATOMIC_POSITIONS crystal
B 0.500 0.000 0.000
Tc 0.500 0.500 0.500
Sb 0.000 0.000 0.000
Nb 0.000 0.000 0.500
Nb 0.000 0.500 0.000
! Energy relative to the elements, uncorrected in eV/f.u.: 10.52
! DOS at the Fermi energy in states/eV per cell: 5.2